Record 1
Density functional theory data (GGA-PBE) for crystalline Ta2In3Ir at its relaxed geometry.

a b c (Å): 4.079 4.079 7.064
angles (deg): 90.00 90.00 90.00
Fractional positions:
Ta 0.000 0.500 0.214
Ta 0.500 0.000 0.786
In 0.000 0.500 0.815
In 0.500 0.000 0.185
In 0.500 0.500 0.500
Ir 0.000 0.000 0.500

Output
Its theoretical density is 12.70 g/cm3. As for the raw total energy: -6.44 eV/atom.

***

Record 2
Density functional theory data (GGA-PBE) for crystalline TaInIr2 at its relaxed geometry.

a b c (Å): 4.566 4.566 4.566
angles (deg): 60.00 60.00 60.00
Fractional positions:
Ta 0.000 0.000 0.000
In 0.750 0.750 0.750
Ir 0.250 0.250 0.250
Ir 0.500 0.500 0.500

Output
Its theoretical density is 16.78 g/cm3. As for the raw total energy: -7.94 eV/atom.

***

Record 3
Density functional theory data (GGA-PBE) for crystalline Ta2InIr at its relaxed geometry.

a b c (Å): 4.648 4.648 4.648
angles (deg): 60.00 60.00 60.00
Fractional positions:
Ta 0.000 0.000 0.000
Ta 0.250 0.250 0.250
In 0.500 0.500 0.500
Ir 0.750 0.750 0.750

Output
Its theoretical density is 15.64 g/cm3. As for the raw total energy: -8.71 eV/atom.

***

Record 4
Density functional theory data (GGA-PBE) for crystalline TbInIr at its relaxed geometry.

a b c (Å): 7.490 7.490 4.004
angles (deg): 90.00 90.00 120.00
Fractional positions:
Tb 0.000 0.592 0.000
Tb 0.408 0.408 0.000
Tb 0.592 0.000 0.000
In 0.000 0.255 0.500
In 0.255 0.000 0.500
In 0.745 0.745 0.500
Ir 0.000 0.000 0.000
Ir 0.333 0.667 0.500
Ir 0.667 0.333 0.500

Output
Its theoretical density is 11.93 g/cm3. As for the raw total energy: -6.11 eV/atom.

***

Record 5
Density functional theory data (GGA-PBE) for crystalline TbInIr at its relaxed geometry.

a b c (Å): 8.318 8.318 3.146
angles (deg): 90.00 90.00 120.00
Fractional positions:
Tb 0.000 0.305 0.000
Tb 0.305 0.000 0.000
Tb 0.695 0.695 0.000
In 0.000 0.000 0.500
In 0.333 0.667 0.000
In 0.667 0.333 0.000
Ir 0.000 0.614 0.500
Ir 0.386 0.386 0.500
Ir 0.614 0.000 0.500

Output
Its theoretical density is 12.31 g/cm3. As for the raw total energy: -5.58 eV/atom.

***

Record 6
Density functional theory data (GGA-PBE) for crystalline TbInIr at its relaxed geometry.

a b c (Å): 7.180 7.180 4.320
angles (deg): 90.00 90.00 120.00
Fractional positions:
Tb 0.000 0.562 0.000
Tb 0.438 0.438 0.000
Tb 0.562 0.000 0.000
In 0.000 0.000 0.000
In 0.333 0.667 0.500
In 0.667 0.333 0.500
Ir 0.000 0.242 0.500
Ir 0.242 0.000 0.500
Ir 0.758 0.758 0.500

Output
Its theoretical density is 12.03 g/cm3. As for the raw total energy: -5.83 eV/atom.

***

Record 7
Density functional theory data (GGA-PBE) for crystalline In8TeIr2 at its relaxed geometry.

a b c (Å): 10.176 10.176 10.380
angles (deg): 90.00 90.00 90.00
Fractional positions:
In 0.000 0.000 0.164
In 0.000 0.000 0.836
In 0.056 0.291 0.290
In 0.056 0.291 0.710
In 0.095 0.905 0.500
In 0.190 0.810 0.000
In 0.202 0.202 0.000
In 0.209 0.556 0.210
In 0.209 0.556 0.790
In 0.291 0.056 0.290
In 0.291 0.056 0.710
In 0.298 0.702 0.500
In 0.310 0.310 0.500
In 0.405 0.405 0.000
In 0.444 0.791 0.210
In 0.444 0.791 0.790
In 0.500 0.500 0.336
In 0.500 0.500 0.664
In 0.556 0.209 0.210
In 0.556 0.209 0.790
In 0.595 0.595 0.000
In 0.690 0.690 0.500
In 0.702 0.298 0.500
In 0.709 0.944 0.290
In 0.709 0.944 0.710
In 0.791 0.444 0.210
In 0.791 0.444 0.790
In 0.798 0.798 0.000
In 0.810 0.190 0.000
In 0.905 0.095 0.500
In 0.944 0.709 0.290
In 0.944 0.709 0.710
Te 0.000 0.500 0.000
Te 0.000 0.500 0.500
Te 0.500 0.000 0.000
Te 0.500 0.000 0.500
Ir 0.184 0.816 0.258
Ir 0.184 0.816 0.742
Ir 0.316 0.316 0.242
Ir 0.316 0.316 0.758
Ir 0.684 0.684 0.242
Ir 0.684 0.684 0.758
Ir 0.816 0.184 0.258
Ir 0.816 0.184 0.742

Output
Its theoretical density is 8.84 g/cm3. As for the raw total energy: -4.09 eV/atom.

***

Record 8
Density functional theory data (GGA-PBE) for crystalline In8TeIr2 at its relaxed geometry.

a b c (Å): 10.158 10.158 10.345
angles (deg): 90.00 90.00 90.00
Fractional positions:
In 0.000 0.000 0.160
In 0.000 0.000 0.840
In 0.055 0.291 0.289
In 0.055 0.291 0.711
In 0.095 0.905 0.500
In 0.192 0.808 0.000
In 0.203 0.203 0.000
In 0.209 0.555 0.211
In 0.209 0.555 0.789
In 0.291 0.055 0.289
In 0.291 0.055 0.711
In 0.297 0.703 0.500
In 0.308 0.308 0.500
In 0.405 0.405 0.000
In 0.445 0.791 0.211
In 0.445 0.791 0.789
In 0.500 0.500 0.340
In 0.500 0.500 0.660
In 0.555 0.209 0.211
In 0.555 0.209 0.789
In 0.595 0.595 0.000
In 0.692 0.692 0.500
In 0.703 0.297 0.500
In 0.709 0.945 0.289
In 0.709 0.945 0.711
In 0.791 0.445 0.211
In 0.791 0.445 0.789
In 0.797 0.797 0.000
In 0.808 0.192 0.000
In 0.905 0.095 0.500
In 0.945 0.709 0.289
In 0.945 0.709 0.711
Te 0.000 0.500 0.000
Te 0.000 0.500 0.500
Te 0.500 0.000 0.000
Te 0.500 0.000 0.500
Ir 0.184 0.816 0.258
Ir 0.184 0.816 0.742
Ir 0.316 0.316 0.242
Ir 0.316 0.316 0.758
Ir 0.684 0.684 0.242
Ir 0.684 0.684 0.758
Ir 0.816 0.184 0.258
Ir 0.816 0.184 0.742

Output
Its theoretical density is 8.90 g/cm3. As for the raw total energy: -4.09 eV/atom.

***

Record 9
Density functional theory data (GGA-PBE) for crystalline InTeIr at its relaxed geometry.

a b c (Å): 4.583 4.583 4.583
angles (deg): 60.00 60.00 60.00
Fractional positions:
In 0.000 0.000 0.000
Te 0.500 0.500 0.500
Ir 0.250 0.250 0.250

Output
Its theoretical density is 10.60 g/cm3. The polymorph energy (0 for the lowest one) comes out at 0.0 kJ per mole of atoms.

***

Record 10
Density functional theory data (GGA-PBE) for crystalline InTe2Ir at its relaxed geometry.

a b c (Å): 5.042 5.042 5.042
angles (deg): 60.00 60.00 60.00
Fractional positions:
In 0.000 0.000 0.000
Te 0.500 0.500 0.500
Te 0.750 0.750 0.750
Ir 0.250 0.250 0.250

Output
Its theoretical density is 10.30 g/cm3. As for the raw total energy: -3.87 eV/atom.

***

Record 11
Density functional theory data (GGA-PBE) for crystalline TmIn2Ir2 at its relaxed geometry.

a b c (Å): 6.691 6.691 6.691
angles (deg): 143.57 143.57 52.47
Fractional positions:
Tm 0.000 0.000 0.000
In 0.250 0.750 0.500
In 0.750 0.250 0.500
Ir 0.398 0.398 0.000
Ir 0.602 0.602 0.000

Output
Its theoretical density is 12.38 g/cm3. As for the raw total energy: -5.87 eV/atom.

***

Record 12
Density functional theory data (GGA-PBE) for crystalline YTmIn2Ir4 at its relaxed geometry.

a b c (Å): 4.558 4.558 8.865
angles (deg): 90.00 90.00 120.00
Fractional positions:
Y 0.000 0.000 0.000
Tm 0.333 0.667 0.500
In 0.667 0.333 0.250
In 0.667 0.333 0.750
Ir 0.000 0.000 0.357
Ir 0.000 0.000 0.643
Ir 0.333 0.667 0.148
Ir 0.333 0.667 0.852

Output
Its theoretical density is 13.08 g/cm3. As for the raw total energy: -6.91 eV/atom.

***

Record 13
Density functional theory data (GGA-PBE) for crystalline Tm2ZrIn3Ir2 at its relaxed geometry.

a b c (Å): 3.458 7.588 7.588
angles (deg): 119.30 90.00 90.00
Fractional positions:
Tm 0.000 0.210 0.790
Tm 0.000 0.790 0.210
Zr 0.000 0.363 0.363
In 0.500 0.025 0.025
In 0.500 0.555 0.785
In 0.500 0.785 0.555
Ir 0.500 0.132 0.453
Ir 0.500 0.453 0.132

Output
Its theoretical density is 11.07 g/cm3. As for the raw total energy: -6.07 eV/atom.

***

Record 14
Density functional theory data (GGA-PBE) for crystalline UInIr at its relaxed geometry.

a b c (Å): 4.650 4.650 4.650
angles (deg): 60.00 60.00 60.00
Fractional positions:
U 0.000 0.000 0.000
In 0.500 0.500 0.500
Ir 0.250 0.250 0.250

Output
Its theoretical density is 12.73 g/cm3. As for the raw total energy: -7.78 eV/atom.

***

Record 15
Density functional theory data (GGA-PBE) for crystalline UInIr at its relaxed geometry.

a b c (Å): 4.759 4.759 4.759
angles (deg): 60.00 60.00 60.00
Fractional positions:
U 0.000 0.000 0.000
In 0.750 0.750 0.750
Ir 0.250 0.250 0.250

Output
Its theoretical density is 11.87 g/cm3. As for the raw total energy: -7.02 eV/atom.

***

Record 16
Density functional theory data (GGA-PBE) for crystalline In2Ir2W3 at its relaxed geometry.

a b c (Å): 7.279 7.279 7.279
angles (deg): 35.93 35.93 35.93
Fractional positions:
In 0.000 0.000 0.000
In 0.426 0.426 0.426
Ir 0.152 0.152 0.152
Ir 0.705 0.705 0.705
W 0.276 0.276 0.276
W 0.568 0.568 0.568
W 0.855 0.855 0.855

Output
Its theoretical density is 16.30 g/cm3. As for the raw total energy: -8.67 eV/atom.

***

Record 17
Density functional theory data (GGA-PBE) for crystalline In2IrW at its relaxed geometry.

a b c (Å): 4.679 4.679 4.679
angles (deg): 60.00 60.00 60.00
Fractional positions:
In 0.000 0.000 0.000
In 0.250 0.250 0.250
Ir 0.750 0.750 0.750
W 0.500 0.500 0.500

Output
Its theoretical density is 13.88 g/cm3. As for the raw total energy: -6.21 eV/atom.

***

Record 18
Density functional theory data (GGA-PBE) for crystalline Y2ZrIn3Ir2 at its relaxed geometry.

a b c (Å): 3.521 7.617 7.617
angles (deg): 119.25 90.00 90.00
Fractional positions:
Y 0.000 0.209 0.791
Y 0.000 0.791 0.209
Zr 0.000 0.363 0.363
In 0.500 0.026 0.026
In 0.500 0.555 0.785
In 0.500 0.785 0.555
Ir 0.500 0.137 0.452
Ir 0.500 0.452 0.137

Output
Its theoretical density is 9.30 g/cm3. As for the raw total energy: -6.55 eV/atom.

***

Record 19
Density functional theory data (GGA-PBE) for crystalline YZr2In3Ir2 at its relaxed geometry.

a b c (Å): 3.400 7.639 7.639
angles (deg): 120.80 90.00 90.00
Fractional positions:
Y 0.000 0.000 0.000
Zr 0.000 0.157 0.581
Zr 0.000 0.581 0.157
In 0.500 0.352 0.352
In 0.500 0.577 0.813
In 0.500 0.813 0.577
Ir 0.500 0.258 0.912
Ir 0.500 0.912 0.258

Output
Its theoretical density is 9.75 g/cm3. As for the raw total energy: -6.79 eV/atom.

***

Record 20
Density functional theory data (GGA-PBE) for crystalline Zn6InIr2 at its relaxed geometry.

a b c (Å): 7.472 7.472 2.957
angles (deg): 90.00 90.00 120.00
Fractional positions:
Zn 0.000 0.312 0.000
Zn 0.000 0.602 0.500
Zn 0.312 0.000 0.000
Zn 0.398 0.398 0.500
Zn 0.602 0.000 0.500
Zn 0.688 0.688 0.000
In 0.000 0.000 0.500
Ir 0.333 0.667 0.000
Ir 0.667 0.333 0.000

Output
Its theoretical density is 10.36 g/cm3. As for the raw total energy: -3.14 eV/atom.

***

Record 21
Density functional theory data (GGA-PBE) for crystalline Zr2InIr at its relaxed geometry.

a b c (Å): 4.801 4.801 4.801
angles (deg): 60.00 60.00 60.00
Fractional positions:
Zr 0.000 0.000 0.000
Zr 0.250 0.250 0.250
In 0.500 0.500 0.500
Ir 0.750 0.750 0.750

Output
Its theoretical density is 10.39 g/cm3. As for the raw total energy: -7.43 eV/atom.

***

Record 22
Density functional theory data (GGA-PBE) for crystalline KLaIn4Pd2 at its relaxed geometry.

a b c (Å): 7.978 5.834 5.834
angles (deg): 46.67 90.00 90.00
Fractional positions:
K 0.000 0.000 0.000
La 0.500 0.131 0.131
In 0.195 0.715 0.715
In 0.302 0.418 0.418
In 0.698 0.418 0.418
In 0.805 0.715 0.715
Pd 0.000 0.279 0.279
Pd 0.500 0.850 0.850

Output
Its theoretical density is 7.15 g/cm3. As for the raw total energy: -3.89 eV/atom.

***

Record 23
Density functional theory data (GGA-PBE) for crystalline KLuIn at its relaxed geometry.

a b c (Å): 5.486 5.486 5.486
angles (deg): 60.00 60.00 60.00
Fractional positions:
K 0.000 0.000 0.000
Lu 0.500 0.500 0.500
In 0.250 0.250 0.250

Output
Its theoretical density is 4.68 g/cm3. The polymorph energy (0 for the lowest one) comes out at 0.0 kJ per mole of atoms.